# PBE-GGA RbTaTe2N, relaxed
data_RbTaTe2N
_chemical_formula_sum 'Rb1 Ta1 Te2 N1'
_symmetry_space_group_name_H-M 'P 4/m m m'
_symmetry_Int_Tables_number 123
_symmetry_space_group_name_Hall '-P 4 2'
_cell_length_a 5.981
_cell_length_b 5.981
_cell_length_c 4.196
_cell_angle_alpha 90.00
_cell_angle_beta 90.00
_cell_angle_gamma 90.00
loop_
_atom_site_label
_atom_site_type_symbol
_atom_site_fract_x
_atom_site_fract_y
_atom_site_fract_z
Rb1 Rb 0.000 0.000 0.000
Ta1 Ta 0.500 0.500 0.500
Te1 Te 0.000 0.500 0.000
N1 N 0.000 0.000 0.500
# Energy relative to the elements, uncorrected   2.32 eV per atom
# Energy above the lowest structure with this stoichiometry   2590 meV/atom

# PBE-GGA RbTaTeN2, relaxed
data_RbTaTeN2
_chemical_formula_sum 'Rb1 Ta1 Te1 N2'
_symmetry_space_group_name_H-M 'P 4/m m m'
_symmetry_Int_Tables_number 123
_symmetry_space_group_name_Hall '-P 4 2'
_cell_length_a 4.286
_cell_length_b 4.286
_cell_length_c 5.620
_cell_angle_alpha 90.00
_cell_angle_beta 90.00
_cell_angle_gamma 90.00
loop_
_atom_site_label
_atom_site_type_symbol
_atom_site_fract_x
_atom_site_fract_y
_atom_site_fract_z
Rb1 Rb 0.000 0.000 0.000
Ta1 Ta 0.500 0.500 0.500
Te1 Te 0.500 0.500 0.000
N1 N 0.000 0.500 0.500
# Energy relative to the elements, uncorrected   0.25 eV per atom
# Energy above the lowest structure with this stoichiometry   0 meV/atom

# PBE-GGA RbTaTeN2, relaxed
data_RbTaTeN2
_chemical_formula_sum 'Rb1 Ta1 Te1 N2'
_symmetry_space_group_name_H-M 'P 4/m m m'
_symmetry_Int_Tables_number 123
_symmetry_space_group_name_Hall '-P 4 2'
_cell_length_a 4.183
_cell_length_b 4.183
_cell_length_c 6.110
_cell_angle_alpha 90.00
_cell_angle_beta 90.00
_cell_angle_gamma 90.00
loop_
_atom_site_label
_atom_site_type_symbol
_atom_site_fract_x
_atom_site_fract_y
_atom_site_fract_z
Rb1 Rb 0.000 0.000 0.000
Ta1 Ta 0.500 0.500 0.500
Te1 Te 0.000 0.000 0.500
N1 N 0.000 0.500 0.000
# Energy relative to the elements, uncorrected   2.90 eV per atom
# Energy above the lowest structure with this stoichiometry   2654 meV/atom

# PBE-GGA RbTaW2N, relaxed
data_RbTaW2N
_chemical_formula_sum 'Rb1 Ta1 W2 N1'
_symmetry_space_group_name_H-M 'P 4/m m m'
_symmetry_Int_Tables_number 123
_symmetry_space_group_name_Hall '-P 4 2'
_cell_length_a 4.112
_cell_length_b 4.112
_cell_length_c 5.139
_cell_angle_alpha 90.00
_cell_angle_beta 90.00
_cell_angle_gamma 90.00
loop_
_atom_site_label
_atom_site_type_symbol
_atom_site_fract_x
_atom_site_fract_y
_atom_site_fract_z
Rb1 Rb 0.000 0.000 0.000
Ta1 Ta 0.500 0.500 0.000
W1 W 0.000 0.500 0.500
N1 N 0.000 0.000 0.500
# Energy relative to the elements, uncorrected   1.28 eV per atom

# PBE-GGA RbY2TaN, relaxed
data_RbY2TaN
_chemical_formula_sum 'Rb1 Y2 Ta1 N1'
_symmetry_space_group_name_H-M 'P 4/m m m'
_symmetry_Int_Tables_number 123
_symmetry_space_group_name_Hall '-P 4 2'
_cell_length_a 6.163
_cell_length_b 6.163
_cell_length_c 4.033
_cell_angle_alpha 90.00
_cell_angle_beta 90.00
_cell_angle_gamma 90.00
loop_
_atom_site_label
_atom_site_type_symbol
_atom_site_fract_x
_atom_site_fract_y
_atom_site_fract_z
Rb1 Rb 0.000 0.000 0.000
Y1 Y 0.000 0.500 0.500
Ta1 Ta 0.500 0.500 0.500
N1 N 0.500 0.500 0.000
# Energy relative to the elements, uncorrected   0.73 eV per atom

# PBE-GGA Rb2ZrTaN, relaxed
data_Rb2ZrTaN
_chemical_formula_sum 'Rb2 Zr1 Ta1 N1'
_symmetry_space_group_name_H-M 'P 4/m m m'
_symmetry_Int_Tables_number 123
_symmetry_space_group_name_Hall '-P 4 2'
_cell_length_a 6.769
_cell_length_b 6.769
_cell_length_c 4.877
_cell_angle_alpha 90.00
_cell_angle_beta 90.00
_cell_angle_gamma 90.00
loop_
_atom_site_label
_atom_site_type_symbol
_atom_site_fract_x
_atom_site_fract_y
_atom_site_fract_z
Rb1 Rb 0.000 0.500 0.000
Zr1 Zr 0.000 0.000 0.000
Ta1 Ta 0.000 0.000 0.500
N1 N 0.500 0.500 0.500
# Energy relative to the elements, uncorrected   2.52 eV per atom

# PBE-GGA RbTb2Tc2N6, relaxed
data_RbTb2Tc2N6
_chemical_formula_sum 'Rb1 Tb2 Tc2 N6'
_symmetry_space_group_name_H-M 'P -1'
_symmetry_Int_Tables_number 2
_cell_length_a 6.348
_cell_length_b 6.583
_cell_length_c 6.812
_cell_angle_alpha 94.03
_cell_angle_beta 116.40
_cell_angle_gamma 116.34
loop_
_symmetry_equiv_pos_as_xyz
'x,y,z'
'-x,-y,-z'
loop_
_atom_site_label
_atom_site_type_symbol
_atom_site_fract_x
_atom_site_fract_y
_atom_site_fract_z
Rb1 Rb 0.000 0.000 0.000
Tb1 Tb 0.351 0.671 0.290
Tc1 Tc 0.232 0.657 0.685
N1 N 0.150 0.649 0.912
N2 N 0.322 0.920 0.601
N3 N 0.444 0.547 0.686
# Energy relative to the elements, uncorrected   -0.49 eV per atom

# PBE-GGA Rb3TcN, relaxed
data_Rb3TcN
_chemical_formula_sum 'Rb3 Tc1 N1'
_symmetry_space_group_name_H-M 'P m -3 m'
_symmetry_Int_Tables_number 221
_symmetry_space_group_name_Hall '-P 4 2 3'
_cell_length_a 5.849
_cell_length_b 5.849
_cell_length_c 5.849
_cell_angle_alpha 90.00
_cell_angle_beta 90.00
_cell_angle_gamma 90.00
loop_
_atom_site_label
_atom_site_type_symbol
_atom_site_fract_x
_atom_site_fract_y
_atom_site_fract_z
Rb1 Rb 0.000 0.000 0.500
Tc1 Tc 0.500 0.500 0.500
N1 N 0.000 0.000 0.000
# Energy relative to the elements, uncorrected   1.49 eV per atom
# Energy above the lowest structure with this stoichiometry   0 meV/atom

# PBE-GGA Rb3TcN4, relaxed
data_Rb3TcN4
_chemical_formula_sum 'Rb6 Tc2 N8'
_symmetry_space_group_name_H-M 'C 1 2 1'
_symmetry_Int_Tables_number 5
_cell_length_a 10.878
_cell_length_b 7.387
_cell_length_c 5.949
_cell_angle_alpha 90.00
_cell_angle_beta 122.36
_cell_angle_gamma 90.00
loop_
_symmetry_equiv_pos_as_xyz
'x,y,z'
'-x,y,-z'
'x+1/2,y+1/2,z'
'-x+1/2,y+1/2,-z'
loop_
_atom_site_label
_atom_site_type_symbol
_atom_site_fract_x
_atom_site_fract_y
_atom_site_fract_z
Rb1 Rb 0.000 0.000 0.000
Rb2 Rb 0.225 0.499 0.219
Tc1 Tc 0.000 0.524 0.500
N1 N 0.018 0.253 0.617
N2 N 0.170 0.637 0.667
# Energy relative to the elements, uncorrected   -0.06 eV per atom

# PBE-GGA Rb5Tc2N6, relaxed
data_Rb5Tc2N6
_chemical_formula_sum 'Rb20 Tc8 N24'
_symmetry_space_group_name_H-M 'C 1 2/c 1'
_symmetry_Int_Tables_number 15
_cell_length_a 11.388
_cell_length_b 7.275
_cell_length_c 15.380
_cell_angle_alpha 90.00
_cell_angle_beta 100.34
_cell_angle_gamma 90.00
loop_
_symmetry_equiv_pos_as_xyz
'x,y,z'
'-x,-y,-z'
'-x,y,-z+1/2'
'x,-y,z+1/2'
'x+1/2,y+1/2,z'
'-x+1/2,-y+1/2,-z'
'-x+1/2,y+1/2,-z+1/2'
'x+1/2,-y+1/2,z+1/2'
loop_
_atom_site_label
_atom_site_type_symbol
_atom_site_fract_x
_atom_site_fract_y
_atom_site_fract_z
Rb1 Rb 0.000 0.093 0.250
Rb2 Rb 0.063 0.237 0.994
Rb3 Rb 0.153 0.450 0.711
Tc1 Tc 0.226 0.353 0.425
N1 N 0.080 0.424 0.375
N2 N 0.165 0.074 0.637
N3 N 0.233 0.087 0.449
# Energy relative to the elements, uncorrected   -0.18 eV per atom

# PBE-GGA RbTc2N2, relaxed
data_RbTc2N2
_chemical_formula_sum 'Rb2 Tc4 N4'
_symmetry_space_group_name_H-M 'P 4/m b m'
_symmetry_Int_Tables_number 127
_symmetry_space_group_name_Hall '-P 4 2ab'
_cell_length_a 7.804
_cell_length_b 7.804
_cell_length_c 2.727
_cell_angle_alpha 90.00
_cell_angle_beta 90.00
_cell_angle_gamma 90.00
loop_
_atom_site_label
_atom_site_type_symbol
_atom_site_fract_x
_atom_site_fract_y
_atom_site_fract_z
Rb1 Rb 0.000 0.000 0.000
Tc1 Tc 0.107 0.393 0.500
N1 N 0.108 0.608 0.000
# Energy relative to the elements, uncorrected   1.16 eV per atom
# Energy above the lowest structure with this stoichiometry   977 meV/atom

# PBE-GGA Rb3TcN3, relaxed
data_Rb3TcN3
_chemical_formula_sum 'Rb12 Tc4 N12'
_symmetry_space_group_name_H-M 'P 1 21/c 1'
_symmetry_Int_Tables_number 14
_cell_length_a 7.762
_cell_length_b 7.199
_cell_length_c 11.433
_cell_angle_alpha 90.00
_cell_angle_beta 95.56
_cell_angle_gamma 90.00
loop_
_symmetry_equiv_pos_as_xyz
'x,y,z'
'-x,-y,-z'
'-x,y+1/2,-z+1/2'
'x,-y+1/2,z+1/2'
loop_
_atom_site_label
_atom_site_type_symbol
_atom_site_fract_x
_atom_site_fract_y
_atom_site_fract_z
Rb1 Rb 0.044 0.104 0.157
Rb2 Rb 0.362 0.185 0.928
Rb3 Rb 0.362 0.685 0.808
Tc1 Tc 0.146 0.570 0.061
N1 N 0.103 0.057 0.407
N2 N 0.228 0.699 0.542
N3 N 0.280 0.063 0.667
# Energy relative to the elements, uncorrected   -0.19 eV per atom

Which value of energy relative to the elements, uncorrected does entry 5 give?
0.73 eV per atom

Which value of energy relative to the elements, uncorrected does entry 1 give?
2.32 eV per atom